<a>
BaLi2Cu: relaxed, PBE.

The volume comes out at 209.9 Å³ per cell.

It has space group Immm (No. 71), with a = 3.6293 Å, b = 5.4033 Å, c = 10.7018 Å, α = 90.00°, β = 90.00° and γ = 90.00°. Symmetry generates all atoms from Ba at (0.0000, 0.0000, 0.0000), Li at (0.0000, 0.5000, 0.1948) and Cu at (0.0000, 0.0000, 0.5000).

<b>
BaLi2Cu: relaxed, PBE.

The volume comes out at 229.4 Å³ per cell.

It has space group Cmmm (No. 65), with a = 6.1473 Å, b = 7.6320 Å, c = 4.8890 Å, α = 90.00°, β = 90.00° and γ = 90.00°. Symmetry generates all atoms from Ba at (0.0000, 0.0000, 0.0000), Li at (0.0000, 0.3348, 0.5000) and Cu at (0.0000, 0.5000, 0.0000).

<c>
BaLi2Cu: relaxed, PBE.

The volume comes out at 220.6 Å³ per cell.

It has space group I-4m2 (No. 119), with a = 5.3742 Å, b = 5.3742 Å, c = 7.6388 Å, α = 90.00°, β = 90.00° and γ = 90.00°. Symmetry generates all atoms from Ba at (0.0000, 0.0000, 0.0000), Li at (0.0000, 0.0000, 0.5000), Li at (0.0000, 0.5000, 0.2500) and Cu at (0.0000, 0.5000, 0.7500).

<d>
BaLi2Cu: relaxed, PBE.

The volume comes out at 217.0 Å³ per cell.

It has space group Cm (No. 8), with a = 8.0457 Å, b = 4.6549 Å, c = 6.3851 Å, α = 90.00°, β = 114.84° and γ = 90.00°. Symmetry generates all atoms from Ba at (0.0000, 0.0000, 0.0000), Li at (0.0107, 0.5000, 0.5341), Li at (0.3096, 0.5000, 0.4301) and Cu at (0.1944, 0.0000, 0.5861).

Which is most stable, and by how much? <d>, by 73 meV per atom.